1.
Lu2BiPd after structural relaxation, computed with GGA-PBE.

Lattice parameters (Å, degrees): 3.640 3.640 7.316 90.00 90.00 90.00
Space group P4/mmm (No. 123)
Inequivalent atoms, fractional coordinates:
Lu  0.000  0.000  0.219 [2 per cell]
Bi  0.500  0.500  0.500 [1 per cell]
Pd  0.500  0.500  0.000 [1 per cell]

Output
crystal system: tetragonal
relative energy among the computed polymorphs: 0.00 eV/f.u.
formation energy: -2.7 eV/f.u.

2.
Lu2BiPd after structural relaxation, computed with GGA-PBE.

Lattice parameters (Å, degrees): 4.3034 4.3034 19.9157 90.00 90.00 120.00
Space group R-3m (No. 166, hexagonal axes)
Inequivalent atoms, fractional coordinates:
Lu  0.0000  0.0000  0.2383 [6 per cell]
Bi  0.0000  0.0000  0.0000 [3 per cell]
Pd  0.0000  0.0000  0.5000 [3 per cell]

Output
crystal system: trigonal
relative energy among the computed polymorphs: 0.11 eV/f.u.
formation energy: -2.6 eV/f.u.

3.
LuBiPd4 after structural relaxation, computed with GGA-PBE.

Lattice parameters (Å, degrees): 7.666 7.666 7.666 90.00 90.00 90.00
Space group F-43m (No. 216)
Inequivalent atoms, fractional coordinates:
Lu  0.000  0.000  0.000 [4 per cell]
Bi  0.250  0.250  0.750 [4 per cell]
Pd  0.126  0.126  0.374 [16 per cell]

Output
crystal system: cubic
formation energy: -3.1 eV/f.u.

4.
Lu5BiPd2 after structural relaxation, computed with GGA-PBE.

Lattice parameters (Å, degrees): 7.639 7.639 13.613 90.00 90.00 90.00
Space group I4/mcm (No. 140)
Inequivalent atoms, fractional coordinates:
Lu  0.000  0.000  0.000 [4 per cell]
Lu  0.154  0.346  0.140 [16 per cell]
Bi  0.000  0.000  0.250 [4 per cell]
Pd  0.139  0.361  0.500 [8 per cell]

Output
crystal system: tetragonal
formation energy: -5.7 eV/f.u.

Number 1: N(E_F) 1.71 states/eV/cell, spin magnetization 0.00 μB/f.u.. Number 2: N(E_F) 6.24 states/eV/cell, spin magnetization 0.00 μB/f.u.. Number 3: N(E_F) 19.41 states/eV/cell, spin magnetization 0.00 μB/f.u.. Number 4: N(E_F) 20.19 states/eV/cell, spin magnetization 0.00 μB/f.u..